Below is a relaxed structure of Ac2TlO, with properties calculated at the PBE level.

Unit cell a=3.988 b=3.988 c=8.623 alpha=76.63 beta=76.63 gamma=60.00
Element x y z (fractional)
Ac (0.774, 0.774, 0.678)
Ac (0.226, 0.226, 0.322)
Tl (0.000, 0.000, 0.000)
O (0.500, 0.500, 0.500)

* relative energy among the computed polymorphs: 5.40 kcal/mol of atoms
* D(E_F): 4.34 states/eV per cell
* symmetry: No. 166
* raw formation energy: -1357 meV/atom